(1)
# La4Dy4Ho

A relaxed La4Dy4Ho crystal (GGA-PBE, Alexandria).

Results
**Energy above the most stable polymorph in this dataset**: 0.0 meV/atom
**Calculated total energy**: -42.4 eV/cell
**Formation enthalpy at 0 K**: 0.0279 eV/atom
**DOS(E_F)**: 13.42 states/eV/cell
**Symmetry**: I4/mmm, No. 139

abc: 5.148 8.107 8.107
angles: 84.21 71.49 71.49
Fractional positions:
La (0.667, 0.666, 0.000)
La (0.333, 0.334, 0.000)
La (0.667, 0.000, 0.666)
La (0.333, 0.000, 0.334)
Dy (0.664, 0.336, 0.336)
Dy (0.336, 0.664, 0.664)
Dy (0.000, 0.664, 0.336)
Dy (0.000, 0.336, 0.664)
Ho (0.000, 0.000, 0.000)



(2)
# La3DyHo12

A relaxed La3DyHo12 crystal (GGA-PBE, Alexandria).

Results
**Calculated total energy**: -73.8 eV/cell
**Formation enthalpy at 0 K**: 0.0317 eV/atom
**DOS(E_F)**: 24.42 states/eV/cell
**Symmetry**: P4/mmm, No. 123

abc: 5.049 5.049 20.211
angles: 90.00 90.00 90.00
Fractional positions:
La (0.000, 0.000, 0.250)
La (0.000, 0.000, 0.500)
La (0.000, 0.000, 0.750)
Dy (0.000, 0.000, 0.000)
Ho (0.500, 0.500, 0.000)
Ho (0.500, 0.500, 0.248)
Ho (0.500, 0.500, 0.500)
Ho (0.500, 0.500, 0.752)
Ho (0.500, 0.000, 0.122)
Ho (0.500, 0.000, 0.374)
Ho (0.500, 0.000, 0.626)
Ho (0.500, 0.000, 0.878)
Ho (0.000, 0.500, 0.122)
Ho (0.000, 0.500, 0.374)
Ho (0.000, 0.500, 0.626)
Ho (0.000, 0.500, 0.878)



(3)
# La5Dy2Ho5

A relaxed La5Dy2Ho5 crystal (GGA-PBE, Alexandria).

Results
**Calculated total energy**: -56.4 eV/cell
**Formation enthalpy at 0 K**: 0.0302 eV/atom
**DOS(E_F)**: 18.73 states/eV/cell
**Symmetry**: C2/m, No. 12

abc: 10.851 10.851 14.526
angles: 33.63 33.63 27.25
Fractional positions:
La (0.332, 0.332, 0.587)
La (0.004, 0.004, 0.245)
La (0.996, 0.996, 0.755)
La (0.668, 0.668, 0.413)
La (0.000, 0.000, 0.000)
Dy (0.668, 0.668, 0.166)
Dy (0.332, 0.332, 0.834)
Ho (0.000, 0.000, 0.500)
Ho (0.331, 0.331, 0.084)
Ho (0.668, 0.668, 0.665)
Ho (0.332, 0.332, 0.335)
Ho (0.669, 0.669, 0.916)



(4)
# La3DyHo7

A relaxed La3DyHo7 crystal (GGA-PBE, Alexandria).

Results
**Energy above the most stable polymorph in this dataset**: 51.5 meV/atom
**Calculated total energy**: -49.5 eV/cell
**Formation enthalpy at 0 K**: 0.1730 eV/atom
**DOS(E_F)**: 17.66 states/eV/cell
**Symmetry**: P3m1, No. 156

abc: 8.762 7.079 7.079
angles: 120.00 90.00 90.00
Fractional positions:
La (0.783, 0.500, 0.500)
La (0.783, 0.500, 0.000)
La (0.783, 0.000, 0.500)
Dy (0.442, 0.333, 0.667)
Ho (0.124, 0.167, 0.833)
Ho (0.124, 0.167, 0.335)
Ho (0.124, 0.667, 0.333)
Ho (0.443, 0.833, 0.167)
Ho (0.443, 0.335, 0.167)
Ho (0.443, 0.833, 0.665)
Ho (0.124, 0.665, 0.833)



(5)
# La7Dy3Ho2

A relaxed La7Dy3Ho2 crystal (GGA-PBE, Alexandria).

Results
**Calculated total energy**: -56.6 eV/cell
**Formation enthalpy at 0 K**: 0.0673 eV/atom
**DOS(E_F)**: 16.74 states/eV/cell
**Symmetry**: P2/m, No. 10

abc: 3.577 6.531 18.344
angles: 74.86 90.00 90.00
Fractional positions:
La (0.500, 0.229, 0.509)
La (0.500, 0.771, 0.491)
La (0.000, 0.556, 0.168)
La (0.000, 0.000, 0.000)
La (0.000, 0.444, 0.832)
La (0.500, 0.947, 0.827)
La (0.500, 0.053, 0.173)
Dy (0.500, 0.500, 0.000)
Dy (0.000, 0.120, 0.337)
Dy (0.000, 0.880, 0.663)
Ho (0.500, 0.611, 0.331)
Ho (0.500, 0.389, 0.669)



(6)
# La7DyHo4

A relaxed La7DyHo4 crystal (GGA-PBE, Alexandria).

Results
**Energy above the most stable polymorph in this dataset**: 197.2 meV/atom
**Calculated total energy**: -54.9 eV/cell
**Formation enthalpy at 0 K**: 0.2108 eV/atom
**DOS(E_F)**: 20.82 states/eV/cell
**Symmetry**: C2/m, No. 12

abc: 6.091 9.735 8.734
angles: 62.66 69.59 71.77
Fractional positions:
La (0.788, 0.894, 0.529)
La (0.212, 0.106, 0.471)
La (0.089, 0.544, 0.278)
La (0.911, 0.456, 0.722)
La (0.222, 0.748, 0.807)
La (0.500, 0.000, 0.000)
La (0.778, 0.252, 0.193)
Dy (0.000, 0.000, 0.000)
Ho (0.565, 0.298, 0.572)
Ho (0.435, 0.702, 0.428)
Ho (0.667, 0.636, 0.029)
Ho (0.333, 0.364, 0.971)



(7)
# La3Dy3Ho2

A relaxed La3Dy3Ho2 crystal (GGA-PBE, Alexandria).

Results
**Calculated total energy**: -37.5 eV/cell
**Formation enthalpy at 0 K**: 0.0327 eV/atom
**DOS(E_F)**: 13.71 states/eV/cell
**Symmetry**: Immm, No. 71

abc: 5.060 5.145 10.901
angles: 103.65 103.42 90.00
Fractional positions:
La (0.625, 0.625, 0.250)
La (0.375, 0.375, 0.750)
La (0.500, 0.000, 0.000)
Dy (0.128, 0.128, 0.256)
Dy (0.000, 0.500, 0.000)
Dy (0.872, 0.872, 0.744)
Ho (0.749, 0.249, 0.498)
Ho (0.251, 0.751, 0.502)



(8)
# La5Dy2Ho6

A relaxed La5Dy2Ho6 crystal (GGA-PBE, Alexandria).

Results
**Calculated total energy**: -120.1 eV/cell
**Formation enthalpy at 0 K**: 0.0953 eV/atom
**DOS(E_F)**: 32.58 states/eV/cell
**Symmetry**: Pbam, No. 55

abc: 3.627 11.685 20.743
angles: 90.00 90.00 90.00
Fractional positions:
La (0.500, 0.300, 0.450)
La (0.500, 0.700, 0.550)
La (0.500, 0.800, 0.050)
La (0.500, 0.200, 0.950)
La (0.500, 0.578, 0.272)
La (0.500, 0.422, 0.728)
La (0.500, 0.078, 0.228)
La (0.500, 0.922, 0.772)
La (0.500, 0.500, 0.000)
La (0.500, 0.000, 0.500)
Dy (0.000, 0.324, 0.289)
Dy (0.000, 0.676, 0.711)
Dy (0.000, 0.824, 0.211)
Dy (0.000, 0.176, 0.789)
Ho (0.000, 0.078, 0.368)
Ho (0.000, 0.922, 0.632)
Ho (0.000, 0.578, 0.132)
Ho (0.000, 0.422, 0.868)
Ho (0.500, 0.323, 0.139)
Ho (0.500, 0.677, 0.861)
Ho (0.500, 0.823, 0.361)
Ho (0.500, 0.177, 0.639)
Ho (0.000, 0.563, 0.419)
Ho (0.000, 0.437, 0.581)
Ho (0.000, 0.063, 0.081)
Ho (0.000, 0.937, 0.919)